## Y3BiRu (PBE)

Data for a geometry-optimized Y3BiRu structure.

Lattice parameters (Å, degrees): 4.343 8.171 8.486 112.57 90.00 90.00
Fractional positions:
Bi  0.250  0.333  0.207
Bi  0.750  0.667  0.793
Ru  0.250  0.922  0.397
Ru  0.750  0.078  0.603
Y  0.250  0.319  0.592
Y  0.750  0.681  0.408
Y  0.750  0.038  0.240
Y  0.250  0.962  0.760
Y  0.250  0.669  0.076
Y  0.750  0.331  0.924

## Properties
Formation energy from the elements, eV per atom: -0.510
Total DFT energy (no corrections), eV per cell: -70.20
N(E_F), states/eV per atom: 0.69
Total magnetization, μB per cell: 0.00
Polymorph energy (0 for the lowest one), eV per atom: 0.0000

## Sm3Ho7In2 (PBE)

Data for a geometry-optimized Sm3Ho7In2 structure.

Lattice parameters (Å, degrees): 6.557 6.557 11.179 72.94 72.94 60.00
Fractional positions:
Ho  0.500  0.500  0.500
Ho  0.920  0.420  0.240
Ho  0.580  0.080  0.760
Ho  0.580  0.580  0.760
Ho  0.420  0.920  0.240
Ho  0.420  0.420  0.240
Ho  0.080  0.580  0.760
Sm  0.856  0.856  0.432
Sm  0.000  0.000  0.000
Sm  0.144  0.144  0.568
In  0.666  0.666  0.001
In  0.334  0.334  0.999

## Properties
Formation energy from the elements, eV per atom: 0.094
Total DFT energy (no corrections), eV per cell: -50.55
N(E_F), states/eV per atom: 1.94
Total magnetization, μB per cell: 0.01

## SrMg7Cd5 (PBE)

Data for a geometry-optimized SrMg7Cd5 structure.

Lattice parameters (Å, degrees): 5.944 7.796 7.796 81.91 67.59 67.59
Fractional positions:
Mg  0.279  0.221  0.221
Mg  0.998  0.649  0.356
Mg  0.644  0.356  0.356
Mg  0.998  0.356  0.649
Mg  0.503  0.213  0.781
Mg  0.351  0.649  0.649
Mg  0.503  0.781  0.213
Cd  0.003  0.000  0.494
Cd  0.003  0.494  0.000
Cd  0.711  0.789  0.789
Cd  0.503  0.494  0.000
Cd  0.503  0.000  0.494
Sr  0.001  0.999  0.999

## Properties
Formation energy from the elements, eV per atom: -0.143
Total DFT energy (no corrections), eV per cell: -19.27
N(E_F), states/eV per atom: 0.37
Total magnetization, μB per cell: 0.00

## MgTc2Te (PBE)

Data for a geometry-optimized MgTc2Te structure.

Lattice parameters (Å, degrees): 3.055 3.055 8.617 90.00 90.00 115.83
Fractional positions:
Tc  0.000  0.000  0.013
Tc  0.000  0.000  0.487
Te  0.500  0.500  0.250
Mg  0.500  0.500  0.750

## Properties
E_form (uncorrected), eV/atom: 0.6757
Total DFT energy (no corrections), eV per cell: -22.77
N(E_F), states/eV per atom: 0.81
Total magnetization, μB per cell: 0.00
Polymorph energy (0 for the lowest one), eV per atom: 0.5394

## Nb3TeAs (PBE)

Data for a geometry-optimized Nb3TeAs structure.

Lattice parameters (Å, degrees): 5.030 5.030 5.030 90.00 90.00 90.00
Fractional positions:
Nb  0.000  0.500  0.000
Nb  0.000  0.000  0.500
Nb  0.500  0.000  0.000
Te  0.000  0.000  0.000
As  0.500  0.500  0.500

## Properties
E_form (uncorrected), eV/atom: 1.4583
Total DFT energy (no corrections), eV per cell: -30.71
N(E_F), states/eV per atom: 1.57
Total magnetization, μB per cell: 0.00
Polymorph energy (0 for the lowest one), eV per atom: 0.8308

## RbPm2Be2O6 (PBE)

Data for a geometry-optimized RbPm2Be2O6 structure.

Lattice parameters (Å, degrees): 6.310 6.437 6.134 114.44 92.02 56.23
Fractional positions:
Be  0.086  0.710  0.776
Be  0.914  0.290  0.224
O  0.369  0.553  0.809
O  0.631  0.447  0.191
O  0.901  0.689  0.917
O  0.984  0.873  0.629
O  0.099  0.311  0.083
O  0.016  0.127  0.371
Pm  0.200  0.639  0.207
Pm  0.800  0.361  0.793
Rb  0.500  0.000  0.500

## Properties
E_form (uncorrected), eV/atom: -2.5536
Total DFT energy (no corrections), eV per cell: -75.76
N(E_F), states/eV per atom: 0.24
Total magnetization, μB per cell: 1.07

## Pr2In5Sn (PBE)

Data for a geometry-optimized Pr2In5Sn structure.

Lattice parameters (Å, degrees): 4.694 6.765 13.464 90.00 90.00 90.00
Fractional positions:
Pr  0.500  0.260  0.123
Pr  0.500  0.240  0.623
Pr  0.500  0.740  0.877
Pr  0.500  0.760  0.377
In  0.000  0.000  0.000
In  0.000  0.500  0.500
In  0.500  0.261  0.372
In  0.000  0.010  0.250
In  0.500  0.739  0.628
In  0.000  0.990  0.750
In  0.000  0.490  0.750
In  0.000  0.510  0.250
In  0.500  0.761  0.128
In  0.500  0.239  0.872
Sn  0.000  0.000  0.500
Sn  0.000  0.500  0.000

## Properties
Formation energy from the elements, eV per atom: -0.484
Total DFT energy (no corrections), eV per cell: -62.26
N(E_F), states/eV per atom: 0.45
Total magnetization, μB per cell: 0.00

## RbCd2BiPt (PBE)

Data for a geometry-optimized RbCd2BiPt structure.

Lattice parameters (Å, degrees): 5.359 5.359 5.518 90.00 90.00 90.00
Fractional positions:
Cd  0.500  0.000  0.000
Cd  0.000  0.500  0.000
Rb  0.500  0.500  0.500
Pt  0.000  0.000  0.000
Bi  0.000  0.000  0.500

## Properties
Formation energy from the elements, eV per atom: -0.149
Total DFT energy (no corrections), eV per cell: -13.46
N(E_F), states/eV per atom: 0.58
Total magnetization, μB per cell: 0.00

## InSbAu3 (PBE)

Data for a geometry-optimized InSbAu3 structure.

Lattice parameters (Å, degrees): 6.870 6.870 6.870 61.33 61.33 61.33
Fractional positions:
In  0.745  0.745  0.745
In  0.245  0.245  0.245
Sb  0.446  0.446  0.446
Sb  0.946  0.946  0.946
Au  0.105  0.852  0.324
Au  0.852  0.324  0.105
Au  0.824  0.352  0.605
Au  0.352  0.605  0.824
Au  0.324  0.105  0.852
Au  0.605  0.824  0.352

## Properties
E_form (uncorrected), eV/atom: -0.0265
Total DFT energy (no corrections), eV per cell: -33.65
N(E_F), states/eV per atom: 0.22
Total magnetization, μB per cell: 0.00
Polymorph energy (0 for the lowest one), eV per atom: 0.0495

## ReSiPb (PBE)

Data for a geometry-optimized ReSiPb structure.

Lattice parameters (Å, degrees): 4.443 4.443 4.443 60.00 60.00 60.00
Fractional positions:
Pb  0.500  0.500  0.500
Si  0.000  0.000  0.000
Re  0.250  0.250  0.250

## Properties
E_form (uncorrected), eV/atom: 0.8661
Total DFT energy (no corrections), eV per cell: -18.98
N(E_F), states/eV per atom: 0.70
Total magnetization, μB per cell: 0.00
Polymorph energy (0 for the lowest one), eV per atom: 0.4353

## MnMo2Rh7 (PBE)

Data for a geometry-optimized MnMo2Rh7 structure.

Lattice parameters (Å, degrees): 2.706 8.571 8.571 123.90 90.00 90.00
Fractional positions:
Rh  0.000  0.185  0.815
Rh  0.500  0.323  0.129
Rh  0.500  0.129  0.323
Rh  0.500  0.871  0.677
Rh  0.000  0.815  0.185
Rh  0.500  0.677  0.871
Rh  0.500  0.500  0.500
Mo  0.500  0.330  0.670
Mo  0.500  0.670  0.330
Mn  0.000  0.000  0.000

## Properties
Formation energy from the elements, eV per atom: 0.380
Total DFT energy (no corrections), eV per cell: -78.49
N(E_F), states/eV per atom: 1.45
Total magnetization, μB per cell: 4.74

## HfGaHg (PBE)

Data for a geometry-optimized HfGaHg structure.

Lattice parameters (Å, degrees): 4.592 4.592 7.766 72.80 72.80 60.00
Fractional positions:
Hf  0.426  0.426  0.721
Hf  0.574  0.574  0.279
Ga  0.300  0.300  0.099
Ga  0.700  0.700  0.901
Hg  0.139  0.139  0.584
Hg  0.861  0.861  0.416

## Properties
Formation energy from the elements, eV per atom: 0.098
Total DFT energy (no corrections), eV per cell: -25.98
N(E_F), states/eV per atom: 0.34
Total magnetization, μB per cell: 0.00
Polymorph energy (0 for the lowest one), eV per atom: 0.1975